[1]
A relaxed structure of Th2PaSi3Pt4, computed with PBE-GGA.

Properties
Calculated density in g/cm3: 12.971
Final energy in eV/f.u.: -74.62

Cell: 4.285 4.285 10.874 Å, 90.00 90.00 90.00°
Fractional positions:
Th1 0.500 0.000 0.227
Th2 0.000 0.500 0.773
Pa1 0.500 0.500 0.500
Si1 0.000 0.000 0.500
Si2 0.500 0.000 0.882
Si3 0.000 0.500 0.118
Pt1 0.500 0.500 0.000
Pt2 0.000 0.000 0.000
Pt3 0.500 0.000 0.663
Pt4 0.000 0.500 0.337



[2]
A relaxed structure of Tm2PaSi3Pt4, computed with PBE-GGA.

Properties
Calculated density in g/cm3: 12.349
Final energy in eV/f.u.: -68.28

Cell: 4.184 4.184 11.009 Å, 90.00 90.00 90.00°
Fractional positions:
Tm1 0.500 0.000 0.218
Tm2 0.000 0.500 0.782
Pa1 0.500 0.500 0.500
Si1 0.000 0.000 0.500
Si2 0.500 0.000 0.879
Si3 0.000 0.500 0.121
Pt1 0.500 0.500 0.000
Pt2 0.000 0.000 0.000
Pt3 0.500 0.000 0.666
Pt4 0.000 0.500 0.334



[3]
A relaxed structure of Pa2VSi4Pt3, computed with PBE-GGA.

Properties
Calculated density in g/cm3: 11.592
Final energy in eV/f.u.: -76.66

Cell: 4.182 4.182 9.916 Å, 90.00 90.00 90.00°
Site moments in Bohr magnetons follow the coordinates.
Fractional positions:
Pa1 0.500 0.000 0.254  0.23
Pa2 0.000 0.500 0.746  0.23
V1 0.500 0.500 0.500  1.47
Si1 0.500 0.500 0.000  0.01
Si2 0.000 0.000 0.000  0.00
Si3 0.500 0.000 0.637  -0.03
Si4 0.000 0.500 0.363  -0.03
Pt1 0.000 0.000 0.500  0.02
Pt2 0.500 0.000 0.879  0.00
Pt3 0.000 0.500 0.121  0.00



[4]
A relaxed structure of Y2PaSi3Pt4, computed with PBE-GGA.

Properties
Calculated density in g/cm3: 10.838
Final energy in eV/f.u.: -72.56

Cell: 4.216 4.216 10.976 Å, 90.00 90.00 90.00°
Fractional positions:
Y1 0.500 0.000 0.219
Y2 0.000 0.500 0.781
Pa1 0.500 0.500 0.500
Si1 0.000 0.000 0.500
Si2 0.500 0.000 0.880
Si3 0.000 0.500 0.120
Pt1 0.500 0.500 0.000
Pt2 0.000 0.000 0.000
Pt3 0.500 0.000 0.664
Pt4 0.000 0.500 0.336



[5]
A relaxed structure of Pa2ZnSi3Pt4, computed with PBE-GGA.

Properties
Calculated density in g/cm3: 13.089
Final energy in eV/f.u.: -69.64

Cell: 4.187 4.187 10.075 Å, 90.00 90.00 90.00°
Fractional positions:
Pa1 0.500 0.000 0.252
Pa2 0.000 0.500 0.748
Zn1 0.500 0.500 0.500
Si1 0.000 0.000 0.500
Si2 0.500 0.000 0.871
Si3 0.000 0.500 0.129
Pt1 0.500 0.500 0.000
Pt2 0.000 0.000 0.000
Pt3 0.500 0.000 0.639
Pt4 0.000 0.500 0.361



[6]
A relaxed structure of Sm3PaPt4, computed with PBE-GGA.

Properties
Calculated density in g/cm3: 12.167
Energy relative to the elements in eV/atom: -1.065

Cell: 7.107 7.187 8.297 Å, 90.00 90.00 109.61°
Fractional positions:
Pa1 0.750 0.000 0.876
Pa2 0.250 0.000 0.124
Pt1 0.988 0.241 0.634
Pt2 0.503 0.236 0.884
Pt3 0.488 0.241 0.366
Pt4 0.003 0.236 0.116
Pt5 0.997 0.764 0.884
Pt6 0.512 0.759 0.634
Pt7 0.497 0.764 0.116
Pt8 0.012 0.759 0.366
Sm1 0.750 0.000 0.374
Sm2 0.250 0.000 0.626
Sm3 0.750 0.500 0.623
Sm4 0.750 0.500 0.128
Sm5 0.250 0.500 0.377
Sm6 0.250 0.500 0.872



[7]
A relaxed structure of Sm2Pa2Pt15, computed with PBE-GGA.

Properties
Calculated density in g/cm3: 17.365
Energy relative to the elements in eV/atom: -0.693

Cell: 7.137 7.137 7.137 Å, 81.56 81.56 81.56°
Fractional positions:
Sm1 0.360 0.360 0.360
Sm2 0.640 0.640 0.640
Pa1 0.102 0.102 0.102
Pa2 0.898 0.898 0.898
Pt1 0.500 0.000 0.000
Pt2 0.000 0.000 0.500
Pt3 0.000 0.500 0.000
Pt4 0.000 0.689 0.311
Pt5 0.689 0.311 0.000
Pt6 0.311 0.000 0.689
Pt7 0.311 0.689 0.000
Pt8 0.689 0.000 0.311
Pt9 0.000 0.311 0.689
Pt10 0.158 0.655 0.655
Pt11 0.655 0.655 0.158
Pt12 0.655 0.158 0.655
Pt13 0.842 0.345 0.345
Pt14 0.345 0.345 0.842
Pt15 0.345 0.842 0.345



[8]
A relaxed structure of SmPaPt3, computed with PBE-GGA.

Properties
Calculated density in g/cm3: 14.629
Energy relative to the elements in eV/atom: -1.076

Cell: 4.290 5.691 8.989 Å, 90.00 90.00 90.00°
Fractional positions:
Sm1 0.000 0.000 0.557
Sm2 0.500 0.500 0.443
Pa1 0.500 0.000 0.107
Pa2 0.000 0.500 0.893
Pt1 0.000 0.748 0.267
Pt2 0.500 0.752 0.733
Pt3 0.500 0.248 0.733
Pt4 0.000 0.252 0.267
Pt5 0.000 0.000 0.893
Pt6 0.500 0.500 0.107



[9]
A relaxed structure of SmPa3Pt6, computed with PBE-GGA.

Properties
Calculated density in g/cm3: 15.623
Energy relative to the elements in eV/atom: -0.938

Cell: 5.204 10.692 8.496 Å, 115.10 90.00 90.00°
Fractional positions:
Sm1 0.250 0.620 0.755
Sm2 0.750 0.380 0.245
Pa1 0.250 0.316 0.885
Pa2 0.750 0.684 0.115
Pa3 0.250 0.782 0.476
Pa4 0.750 0.218 0.524
Pa5 0.250 0.952 0.182
Pa6 0.750 0.048 0.818
Pt1 0.250 0.070 0.577
Pt2 0.750 0.930 0.423
Pt3 0.250 0.190 0.106
Pt4 0.750 0.810 0.894
Pt5 0.250 0.618 0.109
Pt6 0.750 0.382 0.891
Pt7 0.250 0.491 0.340
Pt8 0.750 0.509 0.660
Pt9 0.250 0.307 0.489
Pt10 0.750 0.693 0.511
Pt11 0.250 0.924 0.829
Pt12 0.750 0.076 0.171



[10]
A relaxed structure of SmPa2Pt9, computed with PBE-GGA.

Properties
Calculated density in g/cm3: 18.010
Energy relative to the elements in eV/atom: -0.983

Cell: 4.185 4.185 12.469 Å, 90.00 90.00 90.00°
Site moments in Bohr magnetons follow the coordinates.
Fractional positions:
Sm1 0.000 0.000 0.000  0.00
Pa1 0.000 0.000 0.332  0.42
Pa2 0.000 0.000 0.668  0.42
Pt1 0.500 0.500 0.000  0.00
Pt2 0.500 0.500 0.334  0.02
Pt3 0.500 0.500 0.666  0.02
Pt4 0.500 0.000 0.171  0.01
Pt5 0.500 0.000 0.500  0.03
Pt6 0.500 0.000 0.829  0.01
Pt7 0.000 0.500 0.171  0.01
Pt8 0.000 0.500 0.500  0.03
Pt9 0.000 0.500 0.829  0.01



[11]
A relaxed structure of SmPaPt6, computed with PBE-GGA.

Properties
Calculated density in g/cm3: 17.774
Energy relative to the elements in eV/atom: -1.028

Cell: 4.176 4.176 8.315 Å, 90.00 90.00 90.00°
Fractional positions:
Sm1 0.000 0.000 0.000
Pa1 0.000 0.000 0.500
Pt1 0.500 0.500 0.000
Pt2 0.500 0.500 0.500
Pt3 0.500 0.000 0.257
Pt4 0.500 0.000 0.743
Pt5 0.000 0.500 0.257
Pt6 0.000 0.500 0.743



[12]
A relaxed structure of SmPaPt4, computed with PBE-GGA.

Properties
Calculated density in g/cm3: 16.732
Energy relative to the elements in eV/atom: -0.938

Cell: 5.463 5.463 5.463 Å, 60.00 60.00 60.00°
Fractional positions:
Pa1 0.250 0.250 0.250
Sm1 0.000 0.000 0.000
Pt1 0.625 0.625 0.125
Pt2 0.625 0.125 0.625
Pt3 0.625 0.625 0.625
Pt4 0.125 0.625 0.625